Entry 1:
VASP calculation (GGA-PBE) on a geometry-optimized SrTmCd structure.

Computed properties:
- VASP energy: -0.1715 Ry per atom
- Density: 6.1 g cm⁻³
- Energy of formation: 0.023 eV/atom
- Magnetization: 0.0 Bohr magnetons per cell

a = 3.9723 Å, b = 5.4183 Å, c = 5.4183 Å
α = 120.00°, β = 90.00°, γ = 90.00°
Atoms (fractional coordinates):
Sr1 0.6651 0.6667 0.3333
Tm1 0.1634 0.0000 0.0000
Cd1 0.1715 0.3333 0.6667


Entry 2:
VASP calculation (GGA-PBE) on a geometry-optimized Sr2TaCr structure.

Computed properties:
- VASP energy: -0.3706 Ry per atom
- Density: 6.0 g cm⁻³
- Energy of formation: 1.168 eV/atom
- Magnetization: 1.7 Bohr magnetons per cell

a = 6.1197 Å, b = 6.1197 Å, c = 6.1197 Å
α = 135.05°, β = 135.05°, γ = 65.46°
Each line ends with the local moment (μB).
Atoms (fractional coordinates):
Sr1 0.5000 0.5000 0.0000  -0.05
Ta1 0.2500 0.7500 0.5000  -1.42
Sr2 0.0000 0.0000 0.0000  -0.05
Cr1 0.7500 0.2500 0.5000  3.64


Entry 3:
VASP calculation (GGA-PBE) on a geometry-optimized La5CeNd2Sm structure.

Computed properties:
- VASP energy: -0.3470 Ry per atom
- Density: 6.5 g cm⁻³
- Energy of formation: 0.259 eV/atom
- Magnetization: 2.5 Bohr magnetons per cell

a = 9.4575 Å, b = 8.2924 Å, c = 8.2924 Å
α = 90.00°, β = 90.00°, γ = 90.00°
Each line ends with the local moment (μB).
Atoms (fractional coordinates):
La1 0.2226 0.8050 0.3050  0.06
La2 0.2226 0.3050 0.1950  0.06
La3 0.7774 0.6950 0.8050  0.06
Nd1 0.5000 0.8699 0.6301  -0.02
La4 0.7774 0.3050 0.1950  0.06
La5 0.7774 0.8050 0.3050  0.06
La6 0.5000 0.5000 0.5000  -0.03
Sm1 0.0000 0.5000 0.5000  0.02
La7 0.2226 0.1950 0.6950  0.06
Nd2 0.5000 0.3699 0.8699  -0.02
La8 0.7774 0.1950 0.6950  0.06
Nd3 0.5000 0.1301 0.3699  -0.02
Ce1 0.0000 0.0000 0.5000  0.81
Sm2 0.0000 0.0000 0.0000  0.02
Ce2 0.0000 0.5000 0.0000  0.81
La9 0.2226 0.6950 0.8050  0.06
Nd4 0.5000 0.6301 0.1301  -0.02
La10 0.5000 0.0000 0.0000  -0.03


Entry 4:
VASP calculation (GGA-PBE) on a geometry-optimized CuIr5 structure.

Computed properties:
- VASP energy: -0.5731 Ry per atom
- Density: 19.8 g cm⁻³
- Energy of formation: 0.270 eV/atom
- Magnetization: 0.0 Bohr magnetons per cell

a = 2.7911 Å, b = 4.4565 Å, c = 7.2551 Å
α = 107.89°, β = 90.00°, γ = 90.00°
Atoms (fractional coordinates):
Ir1 0.0000 0.6840 0.3680
Ir2 0.5000 0.8523 0.7047
Ir3 0.0000 0.3160 0.6320
Ir4 0.5000 0.5000 0.0000
Ir5 0.5000 0.1477 0.2953
Cu1 0.0000 0.0000 0.0000


Entry 5:
VASP calculation (GGA-PBE) on a geometry-optimized LaHgAuBr structure.

Computed properties:
- VASP energy: -0.2464 Ry per atom
- Density: 10.0 g cm⁻³
- Formation energy without anion corrections: -312 kJ/mol of formula units
- Magnetization: 0.0 Bohr magnetons per cell

a = 5.2475 Å, b = 5.2475 Å, c = 5.2475 Å
α = 60.00°, β = 60.00°, γ = 60.00°
Atoms (fractional coordinates):
Br1 0.7500 0.7500 0.7500
La1 0.5000 0.5000 0.5000
Au1 0.2500 0.2500 0.2500
Hg1 0.0000 0.0000 0.0000


Entry 6:
VASP calculation (GGA-PBE) on a geometry-optimized DyZnSi2Rh structure.

Computed properties:
- VASP energy: -0.4108 Ry per atom
- Density: 7.7 g cm⁻³
- Formation energy without anion corrections: -374 kJ/mol of formula units
- Magnetization: 0.0 Bohr magnetons per cell

a = 3.9832 Å, b = 3.9832 Å, c = 5.9451 Å
α = 109.57°, β = 109.57°, γ = 90.00°
Atoms (fractional coordinates):
Rh1 0.2500 0.7500 0.5000
Si1 0.3880 0.3880 0.7761
Dy1 0.0000 0.0000 0.0000
Zn1 0.7500 0.2500 0.5000
Si2 0.6120 0.6120 0.2239


Entry 7:
VASP calculation (GGA-PBE) on a geometry-optimized Mo4AsRh structure.

Computed properties:
- VASP energy: -0.6399 Ry per atom
- Density: 9.4 g cm⁻³
- Energy of formation: 0.514 eV/atom
- Magnetization: 0.0 Bohr magnetons per cell

a = 5.1970 Å, b = 5.1970 Å, c = 5.1970 Å
α = 60.00°, β = 60.00°, γ = 60.00°
Atoms (fractional coordinates):
Mo1 0.3749 0.8753 0.3749
Mo2 0.3749 0.3749 0.3749
Mo3 0.8753 0.3749 0.3749
Rh1 0.7500 0.7500 0.7500
As1 0.0000 0.0000 0.0000
Mo4 0.3749 0.3749 0.8753


Entry 8:
VASP calculation (GGA-PBE) on a geometry-optimized UBr3Cl3 structure.

Computed properties:
- VASP energy: -0.3150 Ry per atom
- Density: 3.4 g cm⁻³
- Formation energy without anion corrections: -786 kJ/mol of formula units
- Magnetization: 0.0 Bohr magnetons per cell

a = 7.1448 Å, b = 7.1448 Å, c = 7.1448 Å
α = 109.03°, β = 109.03°, γ = 109.03°
Atoms (fractional coordinates):
Br1 0.0129 0.3166 0.0129
Cl1 0.8510 0.5649 0.5649
Cl2 0.5649 0.8510 0.5649
Cl3 0.5649 0.5649 0.8510
Br2 0.3166 0.0129 0.0129
U1 0.8772 0.8772 0.8772
Br3 0.0129 0.0129 0.3166


Entry 9:
VASP calculation (GGA-PBE) on a geometry-optimized CaTc2As structure.

Computed properties:
- VASP energy: -0.4783 Ry per atom
- Density: 7.5 g cm⁻³
- Energy of formation: 0.338 eV/atom
- Magnetization: 0.0 Bohr magnetons per cell

a = 4.6055 Å, b = 3.8763 Å, c = 3.8763 Å
α = 90.00°, β = 90.00°, γ = 90.00°
Atoms (fractional coordinates):
Tc1 0.0000 0.0000 0.0000
Tc2 0.0000 0.5000 0.5000
As1 0.5000 0.5000 0.0000
Ca1 0.5000 0.0000 0.5000


Entry 10:
VASP calculation (GGA-PBE) on a geometry-optimized TbSm3Er2As6 structure.

Computed properties:
- VASP energy: -0.4538 Ry per atom
- Density: 7.6 g cm⁻³
- Energy of formation: -1.524 eV/atom
- Magnetization: 0.0 Bohr magnetons per cell

a = 7.2029 Å, b = 7.2029 Å, c = 7.2005 Å
α = 99.59°, β = 99.59°, γ = 119.99°
Atoms (fractional coordinates):
Er1 0.6668 0.3332 0.0000
Er2 0.3332 0.6668 0.0000
As1 0.7457 0.7457 0.2428
As2 0.2543 0.2543 0.7572
As3 0.0810 0.4162 0.2431
As4 0.5838 0.9190 0.7569
As5 0.4162 0.0810 0.2431
Sm1 0.1662 0.8338 0.5000
Sm2 0.5000 0.5000 0.5000
Sm3 0.8338 0.1662 0.5000
Tb1 0.0000 0.0000 0.0000
As6 0.9190 0.5838 0.7569


Entry 11:
VASP calculation (GGA-PBE) on a geometry-optimized K2Nb3ReO12 structure.

Computed properties:
- VASP energy: -0.5904 Ry per atom
- Density: 4.2 g cm⁻³
- Formation energy without anion corrections: -3882 kJ/mol of formula units
- Magnetization: 0.0 Bohr magnetons per cell

a = 7.4439 Å, b = 7.4439 Å, c = 7.4439 Å
α = 60.25°, β = 60.25°, γ = 60.25°
Atoms (fractional coordinates):
O1 0.0583 0.0583 0.7027
O2 0.9417 0.2973 0.9417
Nb1 0.5000 0.0000 0.0000
O3 0.0583 0.7027 0.0583
O4 0.2973 0.9417 0.9417
O5 0.3147 0.9359 0.3147
Re1 0.0000 0.0000 0.0000
O6 0.0641 0.6853 0.6853
O7 0.7027 0.0583 0.0583
Nb2 0.0000 0.5000 0.0000
O8 0.9359 0.3147 0.3147
O9 0.9417 0.9417 0.2973
O10 0.6853 0.6853 0.0641
K1 0.3939 0.3939 0.3939
O11 0.6853 0.0641 0.6853
O12 0.3147 0.3147 0.9359
K2 0.6061 0.6061 0.6061
Nb3 0.0000 0.0000 0.5000


Entry 12:
VASP calculation (GGA-PBE) on a geometry-optimized HgP structure.

Computed properties:
- VASP energy: -0.1757 Ry per atom
- Density: 8.9 g cm⁻³
- Energy of formation: 0.465 eV/atom
- Magnetization: 0.0 Bohr magnetons per cell

a = 4.4531 Å, b = 4.4531 Å, c = 5.0576 Å
α = 90.00°, β = 90.00°, γ = 120.00°
Atoms (fractional coordinates):
Hg1 0.6667 0.3333 0.7500
P1 0.0000 0.0000 0.0000
P2 0.0000 0.0000 0.5000
Hg2 0.3333 0.6667 0.2500


Entry 13:
VASP calculation (GGA-PBE) on a geometry-optimized SrAs2PdO8 structure.

Computed properties:
- VASP energy: -0.4248 Ry per atom
- Density: 4.5 g cm⁻³
- Formation energy without anion corrections: -1304 kJ/mol of formula units
- Magnetization: 0.0 Bohr magnetons per cell

a = 4.9730 Å, b = 4.9730 Å, c = 8.5491 Å
α = 73.09°, β = 73.09°, γ = 60.00°
Atoms (fractional coordinates):
O1 0.3138 0.3138 0.0586
O2 0.7455 0.4584 0.6710
Sr1 0.0000 0.0000 0.0000
O3 0.5416 0.2545 0.3290
O4 0.6862 0.6862 0.9414
O5 0.2545 0.8749 0.3290
As1 0.2431 0.2431 0.2706
O6 0.8749 0.5416 0.3290
Pd1 0.5000 0.5000 0.5000
O7 0.1251 0.7455 0.6710
As2 0.7569 0.7569 0.7294
O8 0.4584 0.1251 0.6710


Entry 14:
VASP calculation (GGA-PBE) on a geometry-optimized AgTe2Rh structure.

Computed properties:
- VASP energy: -0.3020 Ry per atom
- Density: 8.5 g cm⁻³
- Formation energy without anion corrections: 5 kJ/mol of formula units
- Magnetization: 0.0 Bohr magnetons per cell

a = 7.1580 Å, b = 7.1580 Å, c = 7.1580 Å
α = 153.64°, β = 145.72°, γ = 43.75°
Atoms (fractional coordinates):
Te1 0.9420 0.9420 0.0000
Rh1 0.7792 0.2792 0.5000
Ag1 0.5611 0.5611 0.0000
Te2 0.2177 0.7177 0.5000


Entry 15:
VASP calculation (GGA-PBE) on a geometry-optimized Na3BrCl2 structure.

Computed properties:
- VASP energy: -0.2403 Ry per atom
- Density: 2.5 g cm⁻³
- Formation energy without anion corrections: -993 kJ/mol of formula units
- Magnetization: 0.0 Bohr magnetons per cell

a = 5.8124 Å, b = 8.2007 Å, c = 12.3264 Å
α = 90.00°, β = 90.00°, γ = 89.99°
Atoms (fractional coordinates):
Na1 0.2502 0.6161 0.9114
Na2 0.7505 0.3745 0.7473
Cl1 0.7496 0.1247 0.2482
Cl2 0.2504 0.3753 0.7482
Cl3 0.7501 0.1217 0.5844
Br1 0.2497 0.8722 0.0811
Na3 0.2495 0.1255 0.2473
Cl4 0.2499 0.3783 0.0844
Na4 0.2504 0.6356 0.5869
Na5 0.7505 0.8745 0.7527
Cl5 0.7496 0.6247 0.2518
Br2 0.2497 0.3722 0.4189
Cl6 0.2504 0.8753 0.7518
Cl7 0.7501 0.6217 0.9156
Na6 0.2502 0.1161 0.5886
Na7 0.7496 0.8644 0.0869
Na8 0.7498 0.3839 0.0886
Br3 0.7503 0.6278 0.5811
Na9 0.2495 0.6255 0.2527
Na10 0.7498 0.8839 0.4114
Na11 0.7496 0.3644 0.4131
Br4 0.7503 0.1278 0.9189
Cl8 0.2499 0.8783 0.4156
Na12 0.2504 0.1356 0.9131


Entry 16:
VASP calculation (GGA-PBE) on a geometry-optimized Tl7Hg3Bi2 structure.

Computed properties:
- VASP energy: -0.1509 Ry per atom
- Density: 9.9 g cm⁻³
- Energy of formation: 0.049 eV/atom
- Magnetization: 0.0 Bohr magnetons per cell

a = 5.1626 Å, b = 4.8515 Å, c = 16.4534 Å
α = 83.92°, β = 90.00°, γ = 90.00°
Atoms (fractional coordinates):
Hg1 0.0000 0.9137 0.6365
Tl1 0.5000 0.2199 0.5695
Bi1 0.5000 0.6101 0.7169
Tl2 0.5000 0.9441 0.1504
Tl3 0.0000 0.4526 0.1565
Bi2 0.5000 0.3899 0.2831
Hg2 0.0000 0.0863 0.3635
Tl4 0.5000 0.7801 0.4305
Tl5 0.0000 0.0000 0.0000
Hg3 0.5000 0.5000 0.0000
Tl6 0.5000 0.0559 0.8496
Tl7 0.0000 0.5474 0.8435


Entry 17:
VASP calculation (GGA-PBE) on a geometry-optimized TbPr6Tm12 structure.

Computed properties:
- VASP energy: -0.3270 Ry per atom
- Density: 8.2 g cm⁻³
- Energy of formation: 0.128 eV/atom
- Magnetization: 0.0 Bohr magnetons per cell

a = 8.6417 Å, b = 8.6417 Å, c = 8.6417 Å
α = 79.61°, β = 79.61°, γ = 79.61°
Atoms (fractional coordinates):
Pr1 0.2331 0.8345 0.2331
Tm1 0.4869 0.4869 0.8047
Tm2 0.1953 0.5131 0.5131
Pr2 0.7669 0.7669 0.1655
Tm3 0.4824 0.1379 0.1380
Tm4 0.8621 0.8620 0.5176
Tm5 0.5131 0.5131 0.1953
Tm6 0.1380 0.4824 0.1379
Tm7 0.8620 0.5176 0.8621
Tm8 0.5176 0.8621 0.8620
Tb1 0.0000 0.0000 0.0000
Pr3 0.7669 0.1655 0.7669
Pr4 0.2331 0.2331 0.8345
Pr5 0.8345 0.2331 0.2331
Tm9 0.4869 0.8047 0.4869
Tm10 0.1379 0.1380 0.4824
Pr6 0.1655 0.7669 0.7669
Tm11 0.8047 0.4869 0.4869
Tm12 0.5131 0.1953 0.5131


Entry 18:
VASP calculation (GGA-PBE) on a geometry-optimized ZrHg2Cl structure.

Computed properties:
- VASP energy: -0.2227 Ry per atom
- Density: 9.1 g cm⁻³
- Formation energy without anion corrections: -108 kJ/mol of formula units
- Magnetization: 0.0 Bohr magnetons per cell

a = 7.5942 Å, b = 7.5942 Å, c = 4.4162 Å
α = 73.13°, β = 73.13°, γ = 23.37°
Atoms (fractional coordinates):
Hg1 0.0601 0.0601 0.9408
Zr1 0.7500 0.7500 0.7500
Hg2 0.4399 0.4399 0.5592
Cl1 0.2500 0.2500 0.2500


Entry 19:
VASP calculation (GGA-PBE) on a geometry-optimized BeTe2 structure.

Computed properties:
- VASP energy: -0.2277 Ry per atom
- Density: 6.3 g cm⁻³
- Formation energy without anion corrections: 69 kJ/mol of formula units
- Magnetization: 0.0 Bohr magnetons per cell

a = 3.6474 Å, b = 3.6474 Å, c = 5.1975 Å
α = 90.00°, β = 90.00°, γ = 90.00°
Atoms (fractional coordinates):
Be1 0.0000 0.0000 0.0000
Te1 0.0000 0.0000 0.5000
Te2 0.5000 0.5000 0.0000


Entry 20:
VASP calculation (GGA-PBE) on a geometry-optimized Rb2VOsPb structure.

Computed properties:
- VASP energy: -0.2471 Ry per atom
- Density: 4.7 g cm⁻³
- Energy of formation: 1.836 eV/atom
- Magnetization: 1.7 Bohr magnetons per cell

a = 6.4802 Å, b = 5.2249 Å, c = 6.4802 Å
α = 90.00°, β = 90.00°, γ = 90.00°
Each line ends with the local moment (μB).
Atoms (fractional coordinates):
Pb1 0.0000 0.5000 0.0000  0.07
Rb1 0.0000 0.0000 0.5000  0.00
Os1 0.0000 0.0000 0.0000  -1.12
V1 0.5000 0.5000 0.5000  -0.53
Rb2 0.5000 0.0000 0.0000  -0.01